Computed, not measured: a relaxed InSnSbAu crystal at the GGA-PBE level of DFT.

Computed properties:
uncorrected formation energy	0.054	eV/atom
calculated total energy	-3.48	eV/atom
spin magnetization	0.00	μB/atom
symmetry	F-43m (216)

Lattice parameters (Å, degrees): 5.221 5.221 5.221 60.00 60.00 60.00
Fractional positions:
Sb  0.250  0.250  0.250
Au  0.750  0.750  0.750
Sn  0.000  0.000  0.000
In  0.500  0.500  0.500